1.
{
  "formula": "NbRu2S",
  "functional": "GGA-PBE",
  "state": "optimized geometry",
  "lattice": [[5.371, 0.000, 0.000], [0.000, 5.371, 0.000], [2.685, 2.685, 5.594]],
  "species": ["Ru", "Ru", "Ru", "Ru", "Nb", "Nb", "S", "S"],
  "frac_coords": [[0.582, 0.125, 0.250], [0.168, 0.625, 0.250], [0.375, 0.418, 0.750], [0.875, 0.832, 0.750], [0.000, 0.000, 0.000], [0.750, 0.250, 0.500], [0.500, 0.500, 0.000], [0.250, 0.750, 0.500]],
  "polymorph_energy_ev_per_atom": 0.0000,
  "energy_ev_per_cell": -63.1,
  "raw_formation_energy_ev_per_fu": 1.2,
  "total_magnetization_mub_per_cell": 0.0,
  "dos_ef_per_ev_atom": 0.8319
}

=====

2.
{
  "formula": "NbRuS2",
  "functional": "GGA-PBE",
  "state": "optimized geometry",
  "lattice": [[1.799, 0.000, 7.934], [-0.899, 1.558, 7.934], [-0.899, -1.558, 7.934]],
  "species": ["Ru", "Nb", "S", "S"],
  "frac_coords": [[0.000, 0.000, 0.000], [0.500, 0.500, 0.500], [0.905, 0.905, 0.905], [0.095, 0.095, 0.095]],
  "polymorph_energy_ev_per_atom": 0.0000,
  "energy_ev_per_cell": -29.1,
  "raw_formation_energy_ev_per_fu": -1.5,
  "total_magnetization_mub_per_cell": 0.0,
  "dos_ef_per_ev_atom": 0.8514
}

=====

3.
{
  "formula": "Nb3RuS",
  "functional": "GGA-PBE",
  "state": "optimized geometry",
  "lattice": [[-1.650, 4.192, -0.368], [-3.644, -1.226, 2.377], [2.104, 1.164, 3.827]],
  "species": ["Ru", "Nb", "Nb", "Nb", "S"],
  "frac_coords": [[0.500, 0.500, 0.500], [0.000, 0.500, 0.000], [0.000, 0.000, 0.500], [0.500, 0.000, 0.000], [0.000, 0.000, 0.000]],
  "polymorph_energy_ev_per_atom": 0.0000,
  "energy_ev_per_cell": -42.0,
  "raw_formation_energy_ev_per_fu": 1.6,
  "total_magnetization_mub_per_cell": 0.0,
  "dos_ef_per_ev_atom": 1.3505
}

=====

4.
{
  "formula": "NbRu2S",
  "functional": "GGA-PBE",
  "state": "optimized geometry",
  "lattice": [[0.000, 3.113, 3.113], [3.113, 0.000, 3.113], [3.113, 3.113, 0.000]],
  "species": ["Ru", "Ru", "Nb", "S"],
  "frac_coords": [[0.250, 0.250, 0.250], [0.750, 0.750, 0.750], [0.500, 0.500, 0.500], [0.000, 0.000, 0.000]],
  "polymorph_energy_ev_per_atom": 0.0061,
  "energy_ev_per_cell": -31.5,
  "raw_formation_energy_ev_per_fu": 1.2,
  "total_magnetization_mub_per_cell": 1.0,
  "dos_ef_per_ev_atom": 0.7538
}

=====

5.
{
  "formula": "Nb3RuS4",
  "functional": "GGA-PBE",
  "state": "optimized geometry",
  "lattice": [[-5.234, 0.013, 3.102], [2.653, -2.525, 4.488], [1.873, 7.532, 3.130]],
  "species": ["Nb", "Nb", "Nb", "Nb", "Nb", "Nb", "Ru", "Ru", "S", "S", "S", "S", "S", "S", "S", "S"],
  "frac_coords": [[0.619, 0.703, 0.000], [0.987, 0.662, 0.225], [0.487, 0.338, 0.275], [0.119, 0.297, 0.500], [0.487, 0.338, 0.725], [0.987, 0.662, 0.775], [0.915, 0.025, 0.000], [0.415, 0.975, 0.500], [0.217, 0.772, 0.000], [0.596, 0.261, 0.000], [0.097, 0.264, 0.200], [0.597, 0.736, 0.300], [0.096, 0.739, 0.500], [0.717, 0.228, 0.500], [0.597, 0.736, 0.700], [0.097, 0.264, 0.800]],
  "energy_ev_per_cell": -120.7,
  "raw_formation_energy_ev_per_fu": -4.4,
  "total_magnetization_mub_per_cell": 0.0,
  "dos_ef_per_ev_atom": 0.6662
}

=====

6.
{
  "formula": "NbSi2RuS",
  "functional": "GGA-PBE",
  "state": "optimized geometry",
  "lattice": [[4.851, 0.000, 0.000], [0.000, 4.759, 0.000], [0.000, 0.000, 4.851]],
  "species": ["Ru", "Nb", "Si", "Si", "S"],
  "frac_coords": [[0.000, 0.500, 0.000], [0.000, 0.000, 0.000], [0.000, 0.000, 0.500], [0.500, 0.000, 0.000], [0.500, 0.500, 0.500]],
  "energy_ev_per_cell": -28.0,
  "raw_formation_energy_ev_per_fu": 6.3,
  "total_magnetization_mub_per_cell": 0.6,
  "dos_ef_per_ev_atom": 0.6789
}

=====

7.
{
  "formula": "NbTeRuS2",
  "functional": "GGA-PBE",
  "state": "optimized geometry",
  "lattice": [[-2.651, 1.603, 3.851], [-3.825, 0.689, -2.920], [-1.508, -4.622, 0.886]],
  "species": ["Ru", "Nb", "Te", "S", "S"],
  "frac_coords": [[0.000, 0.500, 0.000], [0.500, 0.500, 0.500], [0.000, 0.000, 0.000], [0.000, 0.000, 0.500], [0.500, 0.000, 0.000]],
  "energy_ev_per_cell": -23.2,
  "raw_formation_energy_ev_per_fu": 7.6,
  "total_magnetization_mub_per_cell": 0.7,
  "dos_ef_per_ev_atom": 1.4483
}

=====

8.
{
  "formula": "Nb2VRuS",
  "functional": "GGA-PBE",
  "state": "optimized geometry",
  "lattice": [[-3.749, 2.230, 1.913], [-2.586, -3.089, -1.468], [0.614, -2.437, 4.046]],
  "species": ["Ru", "Nb", "Nb", "S", "V"],
  "frac_coords": [[0.000, 0.500, 0.000], [0.000, 0.000, 0.500], [0.500, 0.000, 0.000], [0.500, 0.500, 0.500], [0.000, 0.000, 0.000]],
  "energy_ev_per_cell": -36.9,
  "raw_formation_energy_ev_per_fu": 5.7,
  "total_magnetization_mub_per_cell": 0.0,
  "dos_ef_per_ev_atom": 1.6371
}

=====

Number 3 is which compound?
Nb3RuS